No. 1
Entry from the Alexandria database: an optimized crystal structure of Li4Ac2Tl2Bi3 (PBE).

a b c (Å): 4.7511 4.7511 14.2504
angles (deg): 99.60 99.60 90.00
Fractional coordinates of all 11 atoms:
Li 0.3974 0.8974 0.7948
Li 0.8974 0.3974 0.7948
Li 0.1026 0.6026 0.2052
Li 0.6026 0.1026 0.2052
Ac 0.3004 0.3004 0.6007
Ac 0.6996 0.6996 0.3993
Tl 0.4492 0.4492 0.8985
Tl 0.5508 0.5508 0.1015
Bi 0.0000 0.0000 0.0000
Bi 0.1729 0.1729 0.3457
Bi 0.8271 0.8271 0.6543

Summary:
M_tot in μB per formula unit: 0.000
D(E_F) in states/eV per atom: 0.458
Total DFT energy (no corrections) in eV/atom: -3.353
Formation enthalpy at 0 K in eV/atom: -0.42

***

No. 2
Entry from the Alexandria database: an optimized crystal structure of Li2AcTlBi2 (PBE).

a b c (Å): 5.0427 5.0427 7.8709
angles (deg): 90.00 90.00 120.00
Fractional coordinates of all 6 atoms:
Li 0.3333 0.6667 0.6474
Li 0.6667 0.3333 0.3526
Ac 0.0000 0.0000 0.0000
Tl 0.0000 0.0000 0.5000
Bi 0.3333 0.6667 0.2425
Bi 0.6667 0.3333 0.7575

Summary:
M_tot in μB per formula unit: 0.000
D(E_F) in states/eV per atom: 0.054
Total DFT energy (no corrections) in eV/atom: -3.591
Formation enthalpy at 0 K in eV/atom: -0.58

***

No. 3
Entry from the Alexandria database: an optimized crystal structure of LiAcTmBi (PBE).

a b c (Å): 5.5760 5.5760 5.5760
angles (deg): 60.00 60.00 60.00
Fractional coordinates of all 4 atoms:
Ac 0.2500 0.2500 0.2500
Tm 0.7500 0.7500 0.7500
Bi 0.5000 0.5000 0.5000
Li 0.0000 0.0000 0.0000

Summary:
M_tot in μB per formula unit: 0.003
D(E_F) in states/eV per atom: 1.404
Total DFT energy (no corrections) in eV/atom: -3.829
Formation enthalpy at 0 K in eV/atom: -0.23

***

- Which formula does entry 3 have?
  LiAcTmBi